Entry 1:
# In2CoRe (PBE, optimized geometry)
data_In2CoRe
_chemical_formula_sum 'In2 Co1 Re1'
_cell_length_a 2.8981
_cell_length_b 2.8981
_cell_length_c 8.7849
_cell_angle_alpha 90.00
_cell_angle_beta 90.00
_cell_angle_gamma 112.79
_symmetry_space_group_name_H-M 'P 1'
_symmetry_Int_Tables_number 1
_symmetry_space_group_name_Hall 'P 1'
loop_
_atom_site_label
_atom_site_type_symbol
_atom_site_fract_x
_atom_site_fract_y
_atom_site_fract_z
In1 In 0.0000 0.0000 0.2336
In2 In 0.0000 0.0000 0.7664
Co1 Co 0.5000 0.5000 0.0000
Re1 Re 0.5000 0.5000 0.5000
# - Raw total energy: -5.6782 eV per atom
# - Crystal system: orthorhombic
# - ΔE_f: 580 meV/atom
# - E above lowest polymorph: 1.12 eV per formula unit
# - Symmetry: Cmmm
# - Spin magnetization: 0.886 μB per formula unit

Entry 2:
# InCo2Re (PBE, optimized geometry)
data_InCo2Re
_chemical_formula_sum 'In1 Co2 Re1'
_cell_length_a 4.4373
_cell_length_b 4.4373
_cell_length_c 5.0474
_cell_angle_alpha 97.82
_cell_angle_beta 97.82
_cell_angle_gamma 36.23
_symmetry_space_group_name_H-M 'P 1'
_symmetry_Int_Tables_number 1
_symmetry_space_group_name_Hall 'P 1'
loop_
_atom_site_label
_atom_site_type_symbol
_atom_site_fract_x
_atom_site_fract_y
_atom_site_fract_z
In1 In 0.0000 0.0000 0.0000
Co1 Co 0.2464 0.2464 0.7037
Co2 Co 0.7536 0.7536 0.2963
Re1 Re 0.5000 0.5000 0.5000
# - Raw total energy: -6.9922 eV per atom
# - Crystal system: monoclinic
# - ΔE_f: 357 meV/atom
# - Symmetry: C2/m
# - Spin magnetization: 1.678 μB per formula unit

Entry 3:
# InCo2Re (PBE, optimized geometry)
data_InCo2Re
_chemical_formula_sum 'In1 Co2 Re1'
_cell_length_a 8.6322
_cell_length_b 8.6322
_cell_length_c 8.6322
_cell_angle_alpha 18.66
_cell_angle_beta 18.66
_cell_angle_gamma 18.66
_symmetry_space_group_name_H-M 'P 1'
_symmetry_Int_Tables_number 1
_symmetry_space_group_name_Hall 'P 1'
loop_
_atom_site_label
_atom_site_type_symbol
_atom_site_fract_x
_atom_site_fract_y
_atom_site_fract_z
In1 In 0.0000 0.0000 0.0000
Co1 Co 0.2453 0.2453 0.2453
Co2 Co 0.7547 0.7547 0.7547
Re1 Re 0.5000 0.5000 0.5000
# - Raw total energy: -6.9967 eV per atom
# - Crystal system: trigonal
# - ΔE_f: 353 meV/atom
# - Symmetry: R-3m
# - Spin magnetization: 2.109 μB per formula unit

Entry 4:
# In2CoRe (PBE, optimized geometry)
data_In2CoRe
_chemical_formula_sum 'In2 Co1 Re1'
_cell_length_a 4.5811
_cell_length_b 4.5811
_cell_length_c 4.5811
_cell_angle_alpha 60.00
_cell_angle_beta 60.00
_cell_angle_gamma 60.00
_symmetry_space_group_name_H-M 'P 1'
_symmetry_Int_Tables_number 1
_symmetry_space_group_name_Hall 'P 1'
loop_
_atom_site_label
_atom_site_type_symbol
_atom_site_fract_x
_atom_site_fract_y
_atom_site_fract_z
In1 In 0.0000 0.0000 0.0000
In2 In 0.2500 0.2500 0.2500
Co1 Co 0.5000 0.5000 0.5000
Re1 Re 0.7500 0.7500 0.7500
# - Raw total energy: -5.5172 eV per atom
# - Crystal system: cubic
# - ΔE_f: 741 meV/atom
# - E above lowest polymorph: 1.77 eV per formula unit
# - Symmetry: F-43m
# - Spin magnetization: 1.798 μB per formula unit

Entry 5:
# In2CoRe (PBE, optimized geometry)
data_In2CoRe
_chemical_formula_sum 'In2 Co1 Re1'
_cell_length_a 9.2660
_cell_length_b 9.2660
_cell_length_c 9.2660
_cell_angle_alpha 18.52
_cell_angle_beta 18.52
_cell_angle_gamma 18.52
_symmetry_space_group_name_H-M 'P 1'
_symmetry_Int_Tables_number 1
_symmetry_space_group_name_Hall 'P 1'
loop_
_atom_site_label
_atom_site_type_symbol
_atom_site_fract_x
_atom_site_fract_y
_atom_site_fract_z
In1 In 0.0000 0.0000 0.0000
In2 In 0.2335 0.2335 0.2335
Co1 Co 0.4876 0.4876 0.4876
Re1 Re 0.7542 0.7542 0.7542
# - Raw total energy: -5.8311 eV per atom
# - Crystal system: trigonal
# - ΔE_f: 427 meV/atom
# - E above lowest polymorph: 0.51 eV per formula unit
# - Symmetry: R3m
# - Spin magnetization: 1.108 μB per formula unit

Entry 6:
# In2CoRe (PBE, optimized geometry)
data_In2CoRe
_chemical_formula_sum 'In2 Co1 Re1'
_cell_length_a 2.9085
_cell_length_b 2.9085
_cell_length_c 8.3588
_cell_angle_alpha 90.00
_cell_angle_beta 90.00
_cell_angle_gamma 90.00
_symmetry_space_group_name_H-M 'P 1'
_symmetry_Int_Tables_number 1
_symmetry_space_group_name_Hall 'P 1'
loop_
_atom_site_label
_atom_site_type_symbol
_atom_site_fract_x
_atom_site_fract_y
_atom_site_fract_z
In1 In 0.0000 0.0000 0.0000
In2 In 0.5000 0.5000 0.3432
Co1 Co 0.5000 0.5000 0.7722
Re1 Re 0.0000 0.0000 0.5996
# - Raw total energy: -5.9590 eV per atom
# - Crystal system: tetragonal
# - ΔE_f: 299 meV/atom
# - E above lowest polymorph: 0.00 eV per formula unit
# - Symmetry: P4mm
# - Spin magnetization: 0.000 μB per formula unit

Entry 7:
# InCo2ReRh (PBE, optimized geometry)
data_InCo2ReRh
_chemical_formula_sum 'In1 Co2 Re1 Rh1'
_cell_length_a 4.5419
_cell_length_b 4.5419
_cell_length_c 4.7228
_cell_angle_alpha 90.00
_cell_angle_beta 90.00
_cell_angle_gamma 90.00
_symmetry_space_group_name_H-M 'P 1'
_symmetry_Int_Tables_number 1
_symmetry_space_group_name_Hall 'P 1'
loop_
_atom_site_label
_atom_site_type_symbol
_atom_site_fract_x
_atom_site_fract_y
_atom_site_fract_z
In1 In 0.0000 0.0000 0.0000
Co1 Co 0.0000 0.5000 0.5000
Co2 Co 0.5000 0.0000 0.5000
Re1 Re 0.5000 0.5000 0.0000
Rh1 Rh 0.5000 0.5000 0.5000
# - Raw total energy: -5.9377 eV per atom
# - Crystal system: tetragonal
# - ΔE_f: 1412 meV/atom
# - Symmetry: P4/mmm
# - Spin magnetization: 5.162 μB per formula unit

Entry 8:
# InCoReSe2 (PBE, optimized geometry)
data_InCoReSe2
_chemical_formula_sum 'In1 Co1 Re1 Se2'
_cell_length_a 4.5588
_cell_length_b 4.5588
_cell_length_c 4.9632
_cell_angle_alpha 90.00
_cell_angle_beta 90.00
_cell_angle_gamma 90.00
_symmetry_space_group_name_H-M 'P 1'
_symmetry_Int_Tables_number 1
_symmetry_space_group_name_Hall 'P 1'
loop_
_atom_site_label
_atom_site_type_symbol
_atom_site_fract_x
_atom_site_fract_y
_atom_site_fract_z
In1 In 0.0000 0.0000 0.0000
Co1 Co 0.0000 0.0000 0.5000
Re1 Re 0.5000 0.5000 0.0000
Se1 Se 0.0000 0.5000 0.5000
Se2 Se 0.5000 0.0000 0.5000
# - Raw total energy: -4.7060 eV per atom
# - Crystal system: tetragonal
# - Symmetry: P4/mmm
# - Raw formation energy: 1146 meV per atom
# - Spin magnetization: 2.044 μB per formula unit

Entry 9:
# InCoRh2 (PBE, optimized geometry)
data_InCoRh2
_chemical_formula_sum 'In1 Co1 Rh2'
_cell_length_a 4.7823
_cell_length_b 4.7823
_cell_length_c 4.6900
_cell_angle_alpha 101.72
_cell_angle_beta 101.72
_cell_angle_gamma 34.95
_symmetry_space_group_name_H-M 'P 1'
_symmetry_Int_Tables_number 1
_symmetry_space_group_name_Hall 'P 1'
loop_
_atom_site_label
_atom_site_type_symbol
_atom_site_fract_x
_atom_site_fract_y
_atom_site_fract_z
In1 In 0.0000 0.0000 0.0000
Co1 Co 0.7540 0.7540 0.2924
Rh1 Rh 0.2445 0.2445 0.7583
Rh2 Rh 0.4934 0.4934 0.4866
# - Raw total energy: -6.1380 eV per atom
# - Crystal system: monoclinic
# - ΔE_f: -1 meV/atom
# - Symmetry: Cm
# - Spin magnetization: 2.189 μB per formula unit

Entry 10:
# InCoRh2 (PBE, optimized geometry)
data_InCoRh2
_chemical_formula_sum 'In1 Co1 Rh2'
_cell_length_a 4.3935
_cell_length_b 4.3935
_cell_length_c 3.1260
_cell_angle_alpha 90.00
_cell_angle_beta 90.00
_cell_angle_gamma 90.00
_symmetry_space_group_name_H-M 'P 1'
_symmetry_Int_Tables_number 1
_symmetry_space_group_name_Hall 'P 1'
loop_
_atom_site_label
_atom_site_type_symbol
_atom_site_fract_x
_atom_site_fract_y
_atom_site_fract_z
In1 In 0.0000 0.0000 0.0000
Co1 Co 0.5000 0.5000 0.0000
Rh1 Rh 0.0000 0.5000 0.5000
Rh2 Rh 0.5000 0.0000 0.5000
# - Raw total energy: -6.1740 eV per atom
# - Crystal system: tetragonal
# - ΔE_f: -37 meV/atom
# - Symmetry: P4/mmm
# - Spin magnetization: 2.946 μB per formula unit

Entry 11:
# InCoRh2 (PBE, optimized geometry)
data_InCoRh2
_chemical_formula_sum 'In1 Co1 Rh2'
_cell_length_a 4.8168
_cell_length_b 4.8168
_cell_length_c 4.8168
_cell_angle_alpha 132.46
_cell_angle_beta 132.46
_cell_angle_gamma 69.50
_symmetry_space_group_name_H-M 'P 1'
_symmetry_Int_Tables_number 1
_symmetry_space_group_name_Hall 'P 1'
loop_
_atom_site_label
_atom_site_type_symbol
_atom_site_fract_x
_atom_site_fract_y
_atom_site_fract_z
In1 In 0.0000 0.0000 0.0000
Co1 Co 0.7500 0.2500 0.5000
Rh1 Rh 0.2500 0.7500 0.5000
Rh2 Rh 0.5000 0.5000 0.0000
# - Raw total energy: -6.1508 eV per atom
# - Crystal system: tetragonal
# - ΔE_f: -14 meV/atom
# - Symmetry: I-4m2
# - Spin magnetization: 2.146 μB per formula unit

Entry 12:
# InCoRh (PBE, optimized geometry)
data_InCoRh
_chemical_formula_sum 'In1 Co1 Rh1'
_cell_length_a 4.1735
_cell_length_b 4.1735
_cell_length_c 4.1735
_cell_angle_alpha 60.00
_cell_angle_beta 60.00
_cell_angle_gamma 60.00
_symmetry_space_group_name_H-M 'P 1'
_symmetry_Int_Tables_number 1
_symmetry_space_group_name_Hall 'P 1'
loop_
_atom_site_label
_atom_site_type_symbol
_atom_site_fract_x
_atom_site_fract_y
_atom_site_fract_z
In1 In 0.0000 0.0000 0.0000
Co1 Co 0.7500 0.7500 0.7500
Rh1 Rh 0.5000 0.5000 0.5000
# - Raw total energy: -5.5649 eV per atom
# - Crystal system: cubic
# - ΔE_f: 167 meV/atom
# - E above lowest polymorph: 0.45 eV per formula unit
# - Symmetry: F-43m
# - Spin magnetization: 1.974 μB per formula unit

Entry 13:
# InCoRh2 (PBE, optimized geometry)
data_InCoRh2
_chemical_formula_sum 'In1 Co1 Rh2'
_cell_length_a 8.5687
_cell_length_b 8.5687
_cell_length_c 8.5687
_cell_angle_alpha 19.47
_cell_angle_beta 19.47
_cell_angle_gamma 19.47
_symmetry_space_group_name_H-M 'P 1'
_symmetry_Int_Tables_number 1
_symmetry_space_group_name_Hall 'P 1'
loop_
_atom_site_label
_atom_site_type_symbol
_atom_site_fract_x
_atom_site_fract_y
_atom_site_fract_z
In1 In 0.0000 0.0000 0.0000
Co1 Co 0.5000 0.5000 0.5000
Rh1 Rh 0.2447 0.2447 0.2447
Rh2 Rh 0.7553 0.7553 0.7553
# - Raw total energy: -6.0243 eV per atom
# - Crystal system: trigonal
# - ΔE_f: 112 meV/atom
# - Symmetry: R-3m
# - Spin magnetization: 2.580 μB per formula unit

Entry 14:
# InCoRh (PBE, optimized geometry)
data_InCoRh
_chemical_formula_sum 'In1 Co1 Rh1'
_cell_length_a 4.8788
_cell_length_b 4.8788
_cell_length_c 4.8788
_cell_angle_alpha 144.90
_cell_angle_beta 136.30
_cell_angle_gamma 57.24
_symmetry_space_group_name_H-M 'P 1'
_symmetry_Int_Tables_number 1
_symmetry_space_group_name_Hall 'P 1'
loop_
_atom_site_label
_atom_site_type_symbol
_atom_site_fract_x
_atom_site_fract_y
_atom_site_fract_z
In1 In 0.0000 0.0000 0.0000
Co1 Co 0.3254 0.3254 0.0000
Rh1 Rh 0.6781 0.6781 0.0000
# - Raw total energy: -5.7157 eV per atom
# - Crystal system: orthorhombic
# - ΔE_f: 16 meV/atom
# - E above lowest polymorph: 0.00 eV per formula unit
# - Symmetry: Imm2
# - Spin magnetization: 2.058 μB per formula unit

Entry 15:
# In2Co2Rh (PBE, optimized geometry)
data_In2Co2Rh
_chemical_formula_sum 'In2 Co2 Rh1'
_cell_length_a 5.0016
_cell_length_b 5.0016
_cell_length_c 5.0016
_cell_angle_alpha 121.93
_cell_angle_beta 121.93
_cell_angle_gamma 86.69
_symmetry_space_group_name_H-M 'P 1'
_symmetry_Int_Tables_number 1
_symmetry_space_group_name_Hall 'P 1'
loop_
_atom_site_label
_atom_site_type_symbol
_atom_site_fract_x
_atom_site_fract_y
_atom_site_fract_z
In1 In 0.2500 0.7500 0.5000
In2 In 0.7500 0.2500 0.5000
Co1 Co 0.1448 0.1448 0.0000
Co2 Co 0.8552 0.8552 0.0000
Rh1 Rh 0.5000 0.5000 0.0000
# - Raw total energy: -4.9689 eV per atom
# - Crystal system: tetragonal
# - ΔE_f: 439 meV/atom
# - E above lowest polymorph: 1.47 eV per formula unit
# - Symmetry: I4/mmm
# - Spin magnetization: 2.365 μB per formula unit

Entry 16:
# InCoRh (PBE, optimized geometry)
data_InCoRh
_chemical_formula_sum 'In1 Co1 Rh1'
_cell_length_a 5.6580
_cell_length_b 5.6580
_cell_length_c 5.6580
_cell_angle_alpha 149.84
_cell_angle_beta 149.84
_cell_angle_gamma 43.18
_symmetry_space_group_name_H-M 'P 1'
_symmetry_Int_Tables_number 1
_symmetry_space_group_name_Hall 'P 1'
loop_
_atom_site_label
_atom_site_type_symbol
_atom_site_fract_x
_atom_site_fract_y
_atom_site_fract_z
In1 In 0.0000 0.0000 0.0000
Co1 Co 0.6741 0.6741 0.0000
Rh1 Rh 0.3163 0.3163 0.0000
# - Raw total energy: -5.7134 eV per atom
# - Crystal system: tetragonal
# - ΔE_f: 19 meV/atom
# - E above lowest polymorph: 0.01 eV per formula unit
# - Symmetry: I4mm
# - Spin magnetization: 1.890 μB per formula unit

Entry 17:
# InCoRh (PBE, optimized geometry)
data_InCoRh
_chemical_formula_sum 'In1 Co1 Rh1'
_cell_length_a 2.9093
_cell_length_b 2.9093
_cell_length_c 6.3838
_cell_angle_alpha 90.00
_cell_angle_beta 90.00
_cell_angle_gamma 120.00
_symmetry_space_group_name_H-M 'P 1'
_symmetry_Int_Tables_number 1
_symmetry_space_group_name_Hall 'P 1'
loop_
_atom_site_label
_atom_site_type_symbol
_atom_site_fract_x
_atom_site_fract_y
_atom_site_fract_z
In1 In 0.0000 0.0000 0.0000
Co1 Co 0.3333 0.6667 0.6591
Rh1 Rh 0.6667 0.3333 0.3558
# - Raw total energy: -5.5162 eV per atom
# - Crystal system: trigonal
# - ΔE_f: 216 meV/atom
# - E above lowest polymorph: 0.60 eV per formula unit
# - Symmetry: P3m1
# - Spin magnetization: 1.902 μB per formula unit

Entry 18:
# InCoRh2 (PBE, optimized geometry)
data_InCoRh2
_chemical_formula_sum 'In1 Co1 Rh2'
_cell_length_a 2.8457
_cell_length_b 3.7212
_cell_length_c 5.6699
_cell_angle_alpha 90.00
_cell_angle_beta 90.00
_cell_angle_gamma 90.00
_symmetry_space_group_name_H-M 'P 1'
_symmetry_Int_Tables_number 1
_symmetry_space_group_name_Hall 'P 1'
loop_
_atom_site_label
_atom_site_type_symbol
_atom_site_fract_x
_atom_site_fract_y
_atom_site_fract_z
In1 In 0.0000 0.0000 0.0000
Co1 Co 0.5000 0.5000 0.7179
Rh1 Rh 0.0000 0.0000 0.5211
Rh2 Rh 0.5000 0.5000 0.2592
# - Raw total energy: -6.1186 eV per atom
# - Crystal system: orthorhombic
# - ΔE_f: 18 meV/atom
# - Symmetry: Pmm2
# - Spin magnetization: 2.016 μB per formula unit

Entry 19:
# InCoRh2 (PBE, optimized geometry)
data_InCoRh2
_chemical_formula_sum 'In1 Co1 Rh2'
_cell_length_a 4.6785
_cell_length_b 4.6785
_cell_length_c 4.7968
_cell_angle_alpha 100.98
_cell_angle_beta 100.98
_cell_angle_gamma 35.46
_symmetry_space_group_name_H-M 'P 1'
_symmetry_Int_Tables_number 1
_symmetry_space_group_name_Hall 'P 1'
loop_
_atom_site_label
_atom_site_type_symbol
_atom_site_fract_x
_atom_site_fract_y
_atom_site_fract_z
In1 In 0.0000 0.0000 0.0000
Co1 Co 0.5000 0.5000 0.5000
Rh1 Rh 0.2438 0.2438 0.7310
Rh2 Rh 0.7562 0.7562 0.2690
# - Raw total energy: -6.1447 eV per atom
# - Crystal system: monoclinic
# - ΔE_f: -8 meV/atom
# - Symmetry: C2/m
# - Spin magnetization: 2.031 μB per formula unit

Entry 20:
# InCoRh2 (PBE, optimized geometry)
data_InCoRh2
_chemical_formula_sum 'In1 Co1 Rh2'
_cell_length_a 8.7464
_cell_length_b 8.7464
_cell_length_c 8.7464
_cell_angle_alpha 18.78
_cell_angle_beta 18.78
_cell_angle_gamma 18.78
_symmetry_space_group_name_H-M 'P 1'
_symmetry_Int_Tables_number 1
_symmetry_space_group_name_Hall 'P 1'
loop_
_atom_site_label
_atom_site_type_symbol
_atom_site_fract_x
_atom_site_fract_y
_atom_site_fract_z
In1 In 0.0000 0.0000 0.0000
Co1 Co 0.2479 0.2479 0.2479
Rh1 Rh 0.5059 0.5059 0.5059
Rh2 Rh 0.7539 0.7539 0.7539
# - Raw total energy: -5.9177 eV per atom
# - Crystal system: trigonal
# - ΔE_f: 219 meV/atom
# - Symmetry: R3m
# - Spin magnetization: 1.803 μB per formula unit